This record from Alexandria describes a geometry-optimized Zr2SiCl structure. The functional is PBE-GGA.

Magnetic moment ... 0.0 μB/f.u.
E above lowest polymorph ... 360 meV per atom
Symmetry ... Immm
E_form (uncorrected) ... -0.3628 eV per atom

Cell lengths 5.5564, 5.5564, 5.5564 Å; angles 147.78, 115.12, 74.31 degrees
Closest atoms and distances in Å follow each position.
Atoms (fractional coordinates):
Zr (0.2368, 0.2368, 0.0000)  2 Cl 2.60, 2 Si 2.79
Zr (0.7632, 0.7632, 0.0000)  2 Cl 2.60, 2 Si 2.79
Si (0.5000, 0.0000, 0.5000)  4 Zr 2.79, 2 Si 3.08
Cl (0.0000, 0.5000, 0.5000)  4 Zr 2.60